1.
Material: AcHgAs
Method: DFT, GGA-PBE
State: optimized geometry

Cell: 7.4551 7.4551 7.4551 Å, 90.00 90.00 90.00°
Last column: nearest neighbours and their distance in Å.
Space group F-43m (No. 216)
Asymmetric unit:
Ac1 0.0000 0.0000 0.0000 (multiplicity 4)  4 Hg 3.23, 4 As 3.23
Hg1 0.2500 0.2500 0.2500 (multiplicity 4)  4 Ac 3.23
As1 0.2500 0.2500 0.7500 (multiplicity 4)  4 Ac 3.23

Results
total magnetic moment	0.0	μB per formula unit
offset from the most stable computed form	165	meV/atom

---

2.
Material: Ba2FeMo
Method: DFT, GGA-PBE
State: optimized geometry

Cell: 3.4045 3.6148 19.2914 Å, 90.00 90.00 90.00°
Last column: nearest neighbours and their distance in Å.
Space group Immm (No. 71)
Asymmetric unit:
Ba1 0.0000 0.0000 0.1450 (multiplicity 4)  2 Fe 3.27, 2 Mo 3.33, 4 Ba 3.40-3.61
Fe1 0.0000 0.5000 0.5000 (multiplicity 2)  4 Mo 2.48
Mo1 0.0000 0.5000 0.0000 (multiplicity 2)  4 Fe 2.48

Results
total magnetic moment	0.7	μB per formula unit
D(E_F)	4.43	states/eV/f.u.
offset from the most stable computed form	37	meV/atom

---

3.
Material: MoIr2Cl
Method: DFT, GGA-PBE
State: optimized geometry

Cell: 2.7977 3.6800 6.8127 Å, 90.00 90.00 90.00°
Last column: nearest neighbours and their distance in Å.
Space group Pmm2 (No. 25)
Asymmetric unit:
Mo1 0.0000 0.0000 0.0000 (multiplicity 1)  2 Cl 2.57, 5 Ir 2.66-2.68, 2 Mo 2.80
Ir1 0.0000 0.0000 0.3905 (multiplicity 1)  6 Ir 2.65-2.80, 1 Mo 2.66
Ir2 0.5000 0.5000 0.2005 (multiplicity 1)  6 Ir 2.65-2.80, 4 Mo 2.68
Cl1 0.0000 0.5000 0.7359 (multiplicity 1)  2 Mo 2.57, 2 Cl 2.80

Results
total magnetic moment	0.0	μB per formula unit
D(E_F)	6.21	states/eV/f.u.
offset from the most stable computed form	125	meV/atom
formation energy without anion corrections	0.33	eV/atom

---

4.
Material: LaZrIr
Method: DFT, GGA-PBE
State: optimized geometry

Cell: 6.7899 6.7899 6.7899 Å, 90.00 90.00 90.00°
Last column: nearest neighbours and their distance in Å.
Space group F-43m (No. 216)
Asymmetric unit:
La1 0.0000 0.0000 0.0000 (multiplicity 4)  4 Ir 2.94
Zr1 0.0000 0.0000 0.5000 (multiplicity 4)  4 Ir 2.94
Ir1 0.2500 0.2500 0.7500 (multiplicity 4)  4 Zr 2.94, 4 La 2.94

Results
total magnetic moment	0.0	μB per formula unit
D(E_F)	4.57	states/eV/f.u.
offset from the most stable computed form	351	meV/atom

---

5.
Material: Ca7AcIn4
Method: DFT, GGA-PBE
State: optimized geometry

Cell: 14.7678 5.9181 11.5098 Å, 90.00 125.27 90.00°
Last column: nearest neighbours and their distance in Å.
Space group C2/m (No. 12)
Asymmetric unit:
Ca1 0.0000 0.0000 0.0000 (multiplicity 2)  2 Ac 2.96, 4 In 3.10-3.14
Ca2 0.0729 0.5000 0.3772 (multiplicity 4)  5 In 3.23-3.60, 1 Ca 3.56
Ca3 0.1742 0.0000 0.6139 (multiplicity 4)  4 In 3.19-3.45
Ca4 0.2201 0.5000 0.8766 (multiplicity 4)  4 In 3.34-3.54, 2 Ca 3.51-3.56
Ac1 0.0000 0.5000 0.0000 (multiplicity 2)  2 Ca 2.96
In1 0.0606 0.0000 0.7797 (multiplicity 4)  1 In 3.08, 5 Ca 3.14-3.43
In2 0.1838 0.0000 0.3243 (multiplicity 4)  1 In 3.08, 4 Ca 3.10-3.42

Results
total magnetic moment	0.6	μB per formula unit
D(E_F)	9.27	states/eV/f.u.
E	-62.0	eV for the cell shown

---

6.
Material: TmZr11
Method: DFT, GGA-PBE
State: optimized geometry

Cell: 10.1958 10.1958 3.1720 Å, 90.00 90.00 120.00°
Last column: nearest neighbours and their distance in Å.
Space group P6/mmm (No. 191)
Asymmetric unit:
Tm1 0.0000 0.0000 0.0000 (multiplicity 1)  2 Tm 3.17, 12 Zr 3.46
Zr1 0.0000 0.5000 0.0000 (multiplicity 3)  12 Zr 2.94-3.29
Zr2 0.1740 0.3479 0.5000 (multiplicity 6)  10 Zr 3.07-3.29
Zr3 0.3333 0.6667 0.0000 (multiplicity 2)  11 Zr 2.94-3.23

Results
total magnetic moment	0.0	μB per formula unit
D(E_F)	14.18	states/eV/f.u.
E	-98.0	eV for the cell shown

---

7.
Material: LiEuScIn
Method: DFT, GGA-PBE
State: optimized geometry

Cell: 7.4547 7.4547 7.4547 Å, 90.00 90.00 90.00°
Last column: nearest neighbours and their distance in Å.
Space group F-43m (No. 216)
Asymmetric unit:
Li1 0.0000 0.0000 0.0000 (multiplicity 4)  4 Sc 3.23, 4 Eu 3.23
Eu1 0.2500 0.2500 0.7500 (multiplicity 4)  4 In 3.23, 4 Li 3.23
Sc1 0.2500 0.2500 0.2500 (multiplicity 4)  4 In 3.23, 4 Li 3.23
In1 0.0000 0.0000 0.5000 (multiplicity 4)  4 Eu 3.23, 4 Sc 3.23

Results
total magnetic moment	7.2	μB per formula unit
D(E_F)	7.45	states/eV/f.u.
E	-87.9	eV for the cell shown

---

8.
Material: YZn2Cl
Method: DFT, GGA-PBE
State: optimized geometry

Cell: 3.6657 5.7478 8.6367 Å, 90.00 90.00 90.00°
Last column: nearest neighbours and their distance in Å.
Space group Cmmm (No. 65)
Asymmetric unit:
Y1 0.0000 0.0000 0.0000 (multiplicity 2)  4 Zn 2.99
Zn1 0.0000 0.5000 0.2738 (multiplicity 4)  2 Cl 2.68, 2 Y 2.99
Cl1 0.0000 0.0000 0.5000 (multiplicity 2)  4 Zn 2.68

Results
total magnetic moment	0.0	μB per formula unit
D(E_F)	2.16	states/eV/f.u.
offset from the most stable computed form	323	meV/atom
formation energy without anion corrections	-0.27	eV/atom